Below is Tl2Cd3In2 after structural relaxation, with properties calculated at the PBE level.

Cell: 5.903 5.903 9.905 Å, 90.96 90.96 32.51°
Element x y z (fractional)
Tl1 0.135 0.135 0.083
Tl2 0.865 0.865 0.917
Cd1 0.000 0.000 0.500
Cd2 0.300 0.300 0.624
Cd3 0.700 0.700 0.376
In1 0.409 0.409 0.239
In2 0.591 0.591 0.761

Computed properties:
space group = C2/m (12)
E_form = 26 meV per atom